Ru3PtSe | Alexandria via LeMat-Bulk | PBE | relaxed; V = 90.05 Å³/cell; E_form (uncorrected) = 1.13 eV per atom; distance to the lowest polymorph of the same formula = 0.000 eV per atom; total energy = -6.336 eV per atom; DOS(E_F) = 7.25 states/eV/cell
1.0
4.4822 0.0000 0.0000
0.0000 4.4822 0.0000
0.0000 0.0000 4.4822
Ru Se Pt
3 1 1
Direct
0.5000 0.0000 0.0000
0.0000 0.5000 0.0000
0.0000 0.0000 0.5000
0.0000 0.0000 0.0000
0.5000 0.5000 0.5000